K2BeBO: relaxed, PBE.

Calculated values
ΔE_f (raw) in eV/atom: 0.106
Electronic total energy in eV per atom: -3.41

POSCAR file:
```
K2BeBO
1.0
6.238 0.000 0.000
0.000 6.238 0.000
0.000 0.000 2.929
K Be B O
2 1 1 1
Direct
0.000 0.500 0.000
0.500 0.000 0.000
0.000 0.000 0.000
0.500 0.500 0.500
0.000 0.000 0.500
```